Material: LiSm4Cd5
Method: DFT, PBE
State: relaxed

```
LiSm4Cd5
1.0
-3.456 -1.126 0.840
1.266 -1.530 3.157
-3.078 16.242 9.106
Sm Cd Li
4 5 1
direct
0.000 0.000 0.189
0.000 0.000 0.604
0.000 0.000 0.811
0.000 0.000 0.396
0.500 0.500 0.500
0.500 0.500 0.293
0.500 0.500 0.917
0.500 0.500 0.707
0.500 0.500 0.083
0.000 0.000 0.000
```

Properties
DOS(E_F) in states/eV per atom: 1.0359
Formation energy in eV/atom: -0.2879